# K2BaTl

Crystalline K2BaTl at its relaxed geometry (GGA-PBE, Alexandria).

Output
- Energy of formation: -0.01 eV/atom
- E above lowest polymorph: 104 meV/atom
- Final energy: -1.63 eV/atom
- Total magnetization: 0.222 μB per atom
- DOS at the Fermi energy: 4.98 states/eV per cell
- Space group: F-43m (216)

```
4
Lattice="6.395 0.000 0.000 3.197 5.538 0.000 3.197 1.846 5.221" Properties=species:S:1:pos:R:3 pbc="T T T"
Ba 6.395 3.692 2.611
Tl 9.592 5.538 3.916
K 3.197 1.846 1.305
K 0.000 0.000 0.000
```

=====

# KBa2Tl

Crystalline KBa2Tl at its relaxed geometry (GGA-PBE, Alexandria).

Output
- Energy of formation: -0.06 eV/atom
- Final energy: -1.89 eV/atom
- Total magnetization: 0.000 μB per atom
- DOS at the Fermi energy: 5.86 states/eV per cell
- Space group: Amm2 (38)

```
4
Lattice="-3.911 1.006 1.976 1.273 -3.304 4.202 4.726 5.546 6.529" Properties=species:S:1:pos:R:3 pbc="T T T"
Ba -0.520 0.604 3.778
Ba 5.549 1.796 10.066
K 3.372 0.735 6.298
Tl 2.686 3.476 8.660
```

=====

# K2BaTl9

Crystalline K2BaTl9 at its relaxed geometry (GGA-PBE, Alexandria).

Output
- Energy of formation: -0.14 eV/atom
- Final energy: -2.26 eV/atom
- Total magnetization: 0.000 μB per atom
- DOS at the Fermi energy: 5.37 states/eV per cell
- Space group: R-3m (166)

```
12
Lattice="-0.034 5.698 -3.382 -5.642 2.244 -2.654 -4.064 8.122 7.233" Properties=species:S:1:pos:R:3 pbc="T T T"
Tl -3.796 5.327 -3.970
Tl -6.353 7.849 3.596
Tl -6.230 6.463 -2.031
Tl -3.369 5.326 -0.685
Tl -4.870 8.032 0.598
Tl -3.386 8.215 -2.400
Tl -6.370 10.738 1.881
Tl -3.509 9.601 3.227
Tl -5.943 10.737 5.167
K -6.600 10.271 -2.103
K -3.140 5.793 3.300
Ba 0.000 0.000 0.000
```